MnAsRh2 | PBE | optimized geometry

Calculated formation energy (meV/atom): -50.0
N(E_F) (states/eV/atom): 0.832

Cell lengths 5.509, 8.629, 2.858 Å; angles 90.00, 119.93, 90.00 degrees
Space group C2/m (No. 12)
Unique sites:
Mn1 0.000 0.000 0.000 [2 per cell]
As1 0.000 0.500 0.000 [2 per cell]
Rh1 0.250 0.250 0.500 [4 per cell]

MnAs2Rh | PBE | optimized geometry

Calculated formation energy (meV/atom): -197.1
Polymorph energy (0 for the lowest one) (meV/atom): 43
N(E_F) (states/eV/atom): 0.612

Cell lengths 8.724, 3.294, 4.450 Å; angles 90.00, 103.93, 90.00 degrees
Space group Cm (No. 8)
Unique sites:
Mn1 0.000 0.000 0.000 [2 per cell]
As1 0.231 0.500 0.082 [2 per cell]
As2 0.488 0.000 0.483 [2 per cell]
Rh1 0.218 0.000 0.626 [2 per cell]

MnAs2Rh | PBE | optimized geometry

Calculated formation energy (meV/atom): -117.5
Polymorph energy (0 for the lowest one) (meV/atom): 122
N(E_F) (states/eV/atom): 0.729

Cell lengths 4.150, 3.136, 5.177 Å; angles 90.00, 112.11, 90.00 degrees
Space group P2/m (No. 10)
Unique sites:
Mn1 0.000 0.000 0.000 [1 per cell]
As1 0.000 0.000 0.500 [1 per cell]
As2 0.500 0.500 0.000 [1 per cell]
Rh1 0.500 0.500 0.500 [1 per cell]

MnAs2Rh | PBE | optimized geometry

Calculated formation energy (meV/atom): -195.3
Polymorph energy (0 for the lowest one) (meV/atom): 44
N(E_F) (states/eV/atom): 0.619

Cell lengths 3.098, 4.710, 4.211 Å; angles 90.00, 90.00, 90.00 degrees
Space group Pmm2 (No. 25)
Unique sites:
Mn1 0.000 0.000 0.000 [1 per cell]
As1 0.000 0.500 0.218 [1 per cell]
As2 0.500 0.000 0.511 [1 per cell]
Rh1 0.500 0.500 0.736 [1 per cell]

Mn4AsRh2 | PBE | optimized geometry

Calculated formation energy (meV/atom): 587.2
N(E_F) (states/eV/atom): 0.851

Cell lengths 4.508, 4.508, 12.556 Å; angles 90.00, 90.00, 90.00 degrees
Space group I4/mmm (No. 139)
Unique sites:
Mn1 0.000 0.000 0.196 [4 per cell]
Mn2 0.000 0.500 0.000 [4 per cell]
As1 0.000 0.000 0.000 [2 per cell]
Rh1 0.000 0.000 0.389 [4 per cell]

MnAs2Rh | PBE | optimized geometry

Calculated formation energy (meV/atom): 12.8
Polymorph energy (0 for the lowest one) (meV/atom): 252
N(E_F) (states/eV/atom): 0.906

Cell lengths 3.2203, 3.2203, 22.4916 Å; angles 90.00, 90.00, 120.00 degrees
Space group R3m (No. 160, hexagonal axes)
Unique sites:
Mn1 0.0000 0.0000 0.0000 [3 per cell]
As1 0.0000 0.0000 0.2644 [3 per cell]
As2 0.0000 0.0000 0.4945 [3 per cell]
Rh1 0.0000 0.0000 0.7579 [3 per cell]

MnAs2Rh | PBE | optimized geometry

Calculated formation energy (meV/atom): -239.7
Polymorph energy (0 for the lowest one) (meV/atom): 0
N(E_F) (states/eV/atom): 0.396

Cell lengths 3.435, 3.435, 5.209 Å; angles 90.00, 90.00, 90.00 degrees
Space group P4mm (No. 99)
Unique sites:
Mn1 0.000 0.000 0.000 [1 per cell]
As1 0.000 0.000 0.490 [1 per cell]
As2 0.500 0.500 0.862 [1 per cell]
Rh1 0.500 0.500 0.341 [1 per cell]

MnAsRuRh | PBE | optimized geometry

Calculated formation energy (meV/atom): -167.7
N(E_F) (states/eV/atom): 0.424

Cell lengths 6.094, 6.094, 6.094 Å; angles 90.00, 90.00, 90.00 degrees
Space group F-43m (No. 216)
Unique sites:
Mn1 0.000 0.000 0.000 [4 per cell]
As1 0.000 0.000 0.500 [4 per cell]
Ru1 0.250 0.250 0.750 [4 per cell]
Rh1 0.250 0.250 0.250 [4 per cell]

Mn2AsRuRh | PBE | optimized geometry

Calculated formation energy (meV/atom): 1130.3
N(E_F) (states/eV/atom): 1.059

Cell lengths 4.735, 4.735, 4.616 Å; angles 90.00, 90.00, 90.00 degrees
Space group P4/mmm (No. 123)
Unique sites:
Mn1 0.000 0.500 0.000 [2 per cell]
As1 0.000 0.000 0.500 [1 per cell]
Ru1 0.500 0.500 0.000 [1 per cell]
Rh1 0.500 0.500 0.500 [1 per cell]

ScMnAs2Rh | PBE | optimized geometry

Calculated formation energy (meV/atom): 231.0
N(E_F) (states/eV/atom): 1.208

Cell lengths 4.770, 4.770, 4.720 Å; angles 90.00, 90.00, 90.00 degrees
Space group P4/mmm (No. 123)
Unique sites:
Sc1 0.000 0.000 0.000 [1 per cell]
Mn1 0.500 0.500 0.000 [1 per cell]
As1 0.000 0.500 0.500 [2 per cell]
Rh1 0.500 0.500 0.500 [1 per cell]

MnAs2RhSe | PBE | optimized geometry

Uncorrected formation energy (eV per atom): 0.564
Polymorph energy (0 for the lowest one) (meV/atom): 0
N(E_F) (states/eV/atom): 0.723

Cell lengths 4.523, 4.523, 4.693 Å; angles 90.00, 90.00, 90.00 degrees
Space group P4/mmm (No. 123)
Unique sites:
Mn1 0.000 0.000 0.000 [1 per cell]
As1 0.000 0.500 0.000 [2 per cell]
Rh1 0.500 0.500 0.500 [1 per cell]
Se1 0.000 0.000 0.500 [1 per cell]

MnSnAsRh2 | PBE | optimized geometry

Calculated formation energy (meV/atom): 629.9
N(E_F) (states/eV/atom): 0.789

Cell lengths 4.557, 4.557, 5.286 Å; angles 90.00, 90.00, 90.00 degrees
Space group P4/mmm (No. 123)
Unique sites:
Mn1 0.000 0.000 0.000 [1 per cell]
Sn1 0.500 0.500 0.000 [1 per cell]
As1 0.500 0.500 0.500 [1 per cell]
Rh1 0.000 0.500 0.500 [2 per cell]

Sr2MnAs4Rh3 | PBE | optimized geometry

Calculated formation energy (meV/atom): -704.3
N(E_F) (states/eV/atom): 0.569

Cell lengths 4.352, 4.352, 10.275 Å; angles 90.00, 90.00, 90.00 degrees
Space group P-4m2 (No. 115)
Unique sites:
Sr1 0.000 0.500 0.243 [2 per cell]
Mn1 0.000 0.000 0.500 [1 per cell]
As1 0.000 0.000 0.000 [1 per cell]
As2 0.000 0.500 0.632 [2 per cell]
As3 0.500 0.500 0.000 [1 per cell]
Rh1 0.000 0.500 0.881 [2 per cell]
Rh2 0.500 0.500 0.500 [1 per cell]

Sr2MnAs3Rh4 | PBE | optimized geometry

Calculated formation energy (meV/atom): -671.1
N(E_F) (states/eV/atom): 0.699

Cell lengths 4.230, 4.230, 10.563 Å; angles 90.00, 90.00, 90.00 degrees
Space group P-4m2 (No. 115)
Unique sites:
Sr1 0.000 0.500 0.248 [2 per cell]
Mn1 0.500 0.500 0.000 [1 per cell]
As1 0.000 0.000 0.000 [1 per cell]
As2 0.000 0.500 0.632 [2 per cell]
Rh1 0.000 0.000 0.500 [1 per cell]
Rh2 0.000 0.500 0.867 [2 per cell]
Rh3 0.500 0.500 0.500 [1 per cell]

TbMnAs2Rh5 | PBE | optimized geometry

Calculated formation energy (meV/atom): -151.9
N(E_F) (states/eV/atom): 0.781

Cell lengths 4.027, 4.027, 11.735 Å; angles 90.00, 90.00, 90.00 degrees
Space group P4/mmm (No. 123)
Unique sites:
Tb1 0.000 0.000 0.000 [1 per cell]
Mn1 0.500 0.500 0.500 [1 per cell]
As1 0.500 0.500 0.293 [2 per cell]
Rh1 0.000 0.500 0.178 [4 per cell]
Rh2 0.500 0.500 0.000 [1 per cell]

ThMnAs2Rh5 | PBE | optimized geometry

Calculated formation energy (meV/atom): -268.4
N(E_F) (states/eV/atom): 0.747

Cell lengths 4.083, 4.083, 11.764 Å; angles 90.00, 90.00, 90.00 degrees
Space group P4/mmm (No. 123)
Unique sites:
Th1 0.000 0.000 0.000 [1 per cell]
Mn1 0.500 0.500 0.500 [1 per cell]
As1 0.500 0.500 0.293 [2 per cell]
Rh1 0.000 0.500 0.182 [4 per cell]
Rh2 0.500 0.500 0.000 [1 per cell]

Y2MnAs3Rh4 | PBE | optimized geometry

Calculated formation energy (meV/atom): -818.9
N(E_F) (states/eV/atom): 0.636

Cell lengths 4.088, 4.088, 10.593 Å; angles 90.00, 90.00, 90.00 degrees
Space group P-4m2 (No. 115)
Unique sites:
Y1 0.000 0.500 0.247 [2 per cell]
Mn1 0.000 0.000 0.500 [1 per cell]
As1 0.000 0.500 0.862 [2 per cell]
As2 0.500 0.500 0.500 [1 per cell]
Rh1 0.000 0.000 0.000 [1 per cell]
Rh2 0.000 0.500 0.638 [2 per cell]
Rh3 0.500 0.500 0.000 [1 per cell]

YMnAs2Rh5 | PBE | optimized geometry

Calculated formation energy (meV/atom): -174.5
N(E_F) (states/eV/atom): 0.827

Cell lengths 3.958, 3.958, 10.754 Å; angles 90.00, 90.00, 90.00 degrees
Space group P4/mmm (No. 123)
Unique sites:
Y1 0.000 0.000 0.000 [1 per cell]
Mn1 0.500 0.500 0.500 [1 per cell]
As1 0.500 0.500 0.221 [2 per cell]
Rh1 0.000 0.500 0.359 [4 per cell]
Rh2 0.500 0.500 0.000 [1 per cell]

MnAsRu2 | PBE | optimized geometry

Calculated formation energy (meV/atom): 63.3
N(E_F) (states/eV/atom): 0.896

Cell lengths 2.927, 3.738, 5.202 Å; angles 90.00, 90.00, 90.00 degrees
Space group Pmm2 (No. 25)
Unique sites:
Mn1 0.000 0.000 0.000 [1 per cell]
As1 0.500 0.500 0.696 [1 per cell]
Ru1 0.000 0.000 0.503 [1 per cell]
Ru2 0.500 0.500 0.178 [1 per cell]

MnAsRu2 | PBE | optimized geometry

Calculated formation energy (meV/atom): 329.4
N(E_F) (states/eV/atom): 1.155

Cell lengths 3.033, 4.849, 8.109 Å; angles 90.00, 90.00, 90.00 degrees
Space group Cmmm (No. 65)
Unique sites:
Mn1 0.000 0.000 0.000 [2 per cell]
As1 0.000 0.000 0.500 [2 per cell]
Ru1 0.000 0.500 0.258 [4 per cell]